1.
DFT (GGA-PBE) results for an optimized crystal structure of In3GeSe4.

Summary:
Formation energy without anion corrections   -0.322 eV/atom
Fermi-level density of states   1.0 states/eV/f.u.

Geometry as CIF:
```
data_In3GeSe4
_cell_length_a 8.412
_cell_length_b 10.048
_cell_length_c 6.041
_cell_angle_alpha 90.00
_cell_angle_beta 90.00
_cell_angle_gamma 90.00
_symmetry_space_group_name_H-M 'P m n 21'
_symmetry_Int_Tables_number 31
loop_
_symmetry_equiv_pos_as_xyz
'x,y,z'
'-x+1/2,-y,z+1/2'
'-x,y,z'
'x+1/2,-y,z+1/2'
loop_
_atom_site_label
_atom_site_type_symbol
_atom_site_fract_x
_atom_site_fract_y
_atom_site_fract_z
In1 In 0.000 0.135 0.000
In2 In 0.244 0.362 0.523
Ge1 Ge 0.000 0.797 0.529
Se1 Se 0.000 0.195 0.499
Se2 Se 0.000 0.801 0.954
Se3 Se 0.239 0.635 0.496
```



2.
DFT (GGA-PBE) results for an optimized crystal structure of CdPdRh.

Summary:
ΔE to the lowest computed polymorph   0.0 meV/atom
ΔH_f (0 K)   -0.070 eV/atom
Fermi-level density of states   3.3 states/eV/f.u.

Geometry as CIF:
```
data_CdPdRh
_cell_length_a 2.888
_cell_length_b 2.888
_cell_length_c 11.752
_cell_angle_alpha 90.00
_cell_angle_beta 90.00
_cell_angle_gamma 90.00
_symmetry_space_group_name_H-M 'I 4 m m'
_symmetry_Int_Tables_number 107
_symmetry_space_group_name_Hall 'I 4 -2'
loop_
_atom_site_label
_atom_site_type_symbol
_atom_site_fract_x
_atom_site_fract_y
_atom_site_fract_z
Cd1 Cd 0.000 0.000 0.000
Pd1 Pd 0.000 0.000 0.327
Rh1 Rh 0.000 0.000 0.671
```



3.
DFT (GGA-PBE) results for an optimized crystal structure of La4SmGa2.

Summary:
ΔH_f (0 K)   -0.151 eV/atom
Fermi-level density of states   8.8 states/eV/f.u.

Geometry as CIF:
```
data_La4SmGa2
_cell_length_a 5.4446
_cell_length_b 5.4446
_cell_length_c 27.1110
_cell_angle_alpha 90.00
_cell_angle_beta 90.00
_cell_angle_gamma 120.00
_symmetry_space_group_name_H-M 'R -3 m'
_symmetry_Int_Tables_number 166
_symmetry_space_group_name_Hall '-R 3 2"'
loop_
_atom_site_label
_atom_site_type_symbol
_atom_site_fract_x
_atom_site_fract_y
_atom_site_fract_z
La1 La 0.0000 0.0000 0.0864
La2 La 0.0000 0.0000 0.2787
Sm1 Sm 0.0000 0.0000 0.5000
Ga1 Ga 0.0000 0.0000 0.3925
```



4.
DFT (GGA-PBE) results for an optimized crystal structure of CeMoP2Rh5.

Summary:
ΔH_f (0 K)   -0.511 eV/atom
Fermi-level density of states   8.4 states/eV/f.u.

Geometry as CIF:
```
data_CeMoP2Rh5
_cell_length_a 3.950
_cell_length_b 3.950
_cell_length_c 10.404
_cell_angle_alpha 90.00
_cell_angle_beta 90.00
_cell_angle_gamma 90.00
_symmetry_space_group_name_H-M 'P 4/m m m'
_symmetry_Int_Tables_number 123
_symmetry_space_group_name_Hall '-P 4 2'
loop_
_atom_site_label
_atom_site_type_symbol
_atom_site_fract_x
_atom_site_fract_y
_atom_site_fract_z
Ce1 Ce 0.000 0.000 0.000
Mo1 Mo 0.000 0.000 0.500
P1 P 0.500 0.500 0.221
Rh1 Rh 0.000 0.500 0.338
Rh2 Rh 0.500 0.500 0.000
```



Number 1: total moment 0.00 μB/atom. Number 2: total moment 0.23 μB/atom. Number 3: total moment 0.00 μB/atom. Number 4: total moment 0.10 μB/atom.